{"formula": "Mg2Cu2Re", "functional": "PBE", "state": "optimized geometry", "sg": "P4/mbm, No. 127", "formation_enthalpy_0k_ev_per_fu": 1.5, "vol_a3_per_cell": 148, "dos_at_fermi_per_ev_fu": 2.890, "lattice_angstrom": [[-2.2836, 0.4672, -6.9341], [-3.5954, -6.3256, 0.7579], [-2.2438, 1.3750, 0.8316]], "species": ["Re", "Re", "Mg", "Mg", "Mg", "Mg", "Cu", "Cu", "Cu", "Cu"], "fractional_positions": [[0.0000, 0.0000, 0.0000], [0.5000, 0.5000, 0.0000], [0.1765, 0.6765, 0.5000], [0.6765, 0.8235, 0.5000], [0.8235, 0.3235, 0.5000], [0.3235, 0.1765, 0.5000], [0.3785, 0.8785, 0.0000], [0.8785, 0.6215, 0.0000], [0.6215, 0.1215, 0.0000], [0.1215, 0.3785, 0.0000]]}